No. 1
## ZrTcMo2 (PBE-GGA)

Data for a relaxed ZrTcMo2 crystal.

Results
The formation energy from the elements is -0.113 eV/atom. For the distance to the lowest polymorph of the same formula, the calculation gives 0.03 eV per formula unit.

a = 5.3917 Å, b = 5.3917 Å, c = 5.3917 Å
α = 145.30°, β = 130.39°, γ = 61.96°
Sites, in units of the cell vectors:
Zr (0.0000, 0.0000, 0.0000)
Tc (0.5000, 0.5000, 0.0000)
Mo (0.2577, 0.7577, 0.5000)
Mo (0.7423, 0.2423, 0.5000)


No. 2
## LaGeSb2I (PBE-GGA)

Data for a relaxed LaGeSb2I crystal.

Results
The value obtained for the formation energy from raw total energies is -0.12 eV/atom. For the distance to the lowest polymorph of the same formula, the calculation gives 0.00 eV per formula unit.

a = 5.3761 Å, b = 5.3761 Å, c = 5.6525 Å
α = 90.00°, β = 90.00°, γ = 90.00°
Sites, in units of the cell vectors:
La (0.0000, 0.0000, 0.0000)
Ge (0.5000, 0.5000, 0.5000)
Sb (0.0000, 0.5000, 0.5000)
Sb (0.5000, 0.0000, 0.5000)
I (0.5000, 0.5000, 0.0000)


No. 3
## Co3CSe (PBE-GGA)

Data for a relaxed Co3CSe crystal.

Results
The value obtained for the formation energy from raw total energies is 0.27 eV/atom. For the distance to the lowest polymorph of the same formula, the calculation gives 0.00 eV per formula unit.

a = 3.8355 Å, b = 3.8355 Å, c = 3.8355 Å
α = 90.00°, β = 90.00°, γ = 90.00°
Sites, in units of the cell vectors:
Co (0.0000, 0.0000, 0.5000)
Co (0.0000, 0.5000, 0.0000)
Co (0.5000, 0.0000, 0.0000)
C (0.0000, 0.0000, 0.0000)
Se (0.5000, 0.5000, 0.5000)


No. 4
## Hg4PBr3 (PBE-GGA)

Data for a relaxed Hg4PBr3 crystal.

Results
The value obtained for the formation energy from raw total energies is -0.24 eV/atom.

a = 11.3691 Å, b = 7.4749 Å, c = 7.6520 Å
α = 90.00°, β = 90.00°, γ = 90.00°
Sites, in units of the cell vectors:
Hg (0.0000, 0.1145, 0.0000)
Hg (0.0000, 0.8609, 0.5755)
Hg (0.1563, 0.7125, 0.9588)
Hg (0.3437, 0.2875, 0.4588)
Hg (0.5000, 0.1391, 0.0755)
Hg (0.5000, 0.8855, 0.5000)
Hg (0.6563, 0.2875, 0.4588)
Hg (0.8437, 0.7125, 0.9588)
P (0.0000, 0.8266, 0.1464)
P (0.5000, 0.1734, 0.6464)
Br (0.0000, 0.3749, 0.7890)
Br (0.1697, 0.3654, 0.2697)
Br (0.3303, 0.6346, 0.7697)
Br (0.5000, 0.6251, 0.2890)
Br (0.6697, 0.6346, 0.7697)
Br (0.8303, 0.3654, 0.2697)


No. 5
## La2TiTl (PBE-GGA)

Data for a relaxed La2TiTl crystal.

Results
The formation energy from the elements is 0.300 eV/atom. For the distance to the lowest polymorph of the same formula, the calculation gives 1.14 eV per formula unit.

a = 6.8742 Å, b = 6.8742 Å, c = 6.8742 Å
α = 101.96°, β = 101.96°, γ = 125.85°
Sites, in units of the cell vectors:
La (0.1040, 0.6250, 0.9790)
La (0.3750, 0.3540, 0.4790)
La (0.6460, 0.1250, 0.0210)
La (0.8750, 0.8960, 0.5210)
Ti (0.0000, 0.0000, 0.0000)
Ti (0.7500, 0.2500, 0.5000)
Tl (0.2500, 0.7500, 0.5000)
Tl (0.5000, 0.5000, 0.0000)


No. 6
## GaFePt (PBE-GGA)

Data for a relaxed GaFePt crystal.

Results
The formation energy from the elements is -0.260 eV/atom.

a = 5.7008 Å, b = 5.7008 Å, c = 5.7008 Å
α = 151.50°, β = 151.50°, γ = 40.75°
Sites, in units of the cell vectors:
Ga (0.0000, 0.0000, 0.0000)
Fe (0.6573, 0.6573, 0.0000)
Pt (0.3286, 0.3286, 0.0000)


No. 7
## Sc2SbAuN (PBE-GGA)

Data for a relaxed Sc2SbAuN crystal.

Results
The value obtained for the formation energy from raw total energies is 0.60 eV/atom.

a = 5.4015 Å, b = 5.4015 Å, c = 4.1556 Å
α = 90.00°, β = 90.00°, γ = 90.00°
Sites, in units of the cell vectors:
Sc (0.0000, 0.5000, 0.0000)
Sc (0.5000, 0.0000, 0.0000)
Sb (0.0000, 0.0000, 0.0000)
Au (0.5000, 0.5000, 0.5000)
N (0.0000, 0.0000, 0.5000)


No. 8
## FeSiHgBiPt (PBE-GGA)

Data for a relaxed FeSiHgBiPt crystal.

Results
The value obtained for the formation energy from raw total energies is -0.03 eV/atom. For the distance to the lowest polymorph of the same formula, the calculation gives 0.12 eV per formula unit.

a = 7.9045 Å, b = 7.9045 Å, c = 7.9045 Å
α = 28.91°, β = 28.91°, γ = 28.91°
Sites, in units of the cell vectors:
Fe (0.0000, 0.0000, 0.0000)
Si (0.3614, 0.3614, 0.3614)
Hg (0.5884, 0.5884, 0.5884)
Bi (0.1474, 0.1474, 0.1474)
Pt (0.7362, 0.7362, 0.7362)


No. 9
## SrTl5Pb2 (PBE-GGA)

Data for a relaxed SrTl5Pb2 crystal.

Results
The formation energy from the elements is -0.128 eV/atom. For the distance to the lowest polymorph of the same formula, the calculation gives 0.00 eV per formula unit.

a = 7.2687 Å, b = 14.1663 Å, c = 4.8584 Å
α = 90.00°, β = 90.00°, γ = 90.00°
Sites, in units of the cell vectors:
Sr (0.0000, 0.0000, 0.0000)
Sr (0.5000, 0.5000, 0.0000)
Tl (0.0000, 0.5000, 0.0000)
Tl (0.0084, 0.2526, 0.0000)
Tl (0.2460, 0.3731, 0.5000)
Tl (0.2540, 0.8731, 0.5000)
Tl (0.4916, 0.7526, 0.0000)
Tl (0.5000, 0.0000, 0.0000)
Tl (0.5084, 0.2474, 0.0000)
Tl (0.7460, 0.1269, 0.5000)
Tl (0.7540, 0.6269, 0.5000)
Tl (0.9916, 0.7474, 0.0000)
Pb (0.2328, 0.6312, 0.5000)
Pb (0.2672, 0.1312, 0.5000)
Pb (0.7328, 0.8688, 0.5000)
Pb (0.7672, 0.3688, 0.5000)


No. 10
## SrSm5 (PBE-GGA)

Data for a relaxed SrSm5 crystal.

Results
The formation energy from the elements is 0.104 eV/atom.

a = 8.2775 Å, b = 8.2775 Å, c = 5.2501 Å
α = 90.00°, β = 90.00°, γ = 143.05°
Sites, in units of the cell vectors:
Sr (0.0000, 0.0000, 0.0000)
Sm (0.1733, 0.8267, 0.5000)
Sm (0.3267, 0.6733, 0.0000)
Sm (0.5000, 0.5000, 0.5000)
Sm (0.6733, 0.3267, 0.0000)
Sm (0.8267, 0.1733, 0.5000)


No. 11
## NaFeTeN2 (PBE-GGA)

Data for a relaxed NaFeTeN2 crystal.

Results
The value obtained for the formation energy from raw total energies is 0.76 eV/atom. For the distance to the lowest polymorph of the same formula, the calculation gives 0.00 eV per formula unit.

a = 3.7591 Å, b = 3.7591 Å, c = 5.5084 Å
α = 90.00°, β = 90.00°, γ = 90.00°
Sites, in units of the cell vectors:
Na (0.0000, 0.0000, 0.0000)
Fe (0.5000, 0.5000, 0.5000)
Te (0.5000, 0.5000, 0.0000)
N (0.0000, 0.5000, 0.5000)
N (0.5000, 0.0000, 0.5000)


No. 12
## AcPuAg2 (PBE-GGA)

Data for a relaxed AcPuAg2 crystal.

Results
The formation energy from the elements is -0.025 eV/atom. For the distance to the lowest polymorph of the same formula, the calculation gives 0.05 eV per formula unit.

a = 5.4230 Å, b = 5.4230 Å, c = 5.4230 Å
α = 60.00°, β = 60.00°, γ = 60.00°
Sites, in units of the cell vectors:
Ac (0.0000, 0.0000, 0.0000)
Pu (0.5000, 0.5000, 0.5000)
Ag (0.2500, 0.2500, 0.2500)
Ag (0.7500, 0.7500, 0.7500)


Question: Number 7 is which compound?
Answer: Sc2SbAuN